PBE Be2MoBr, optimized geometry; space-group type = I-4m2, No. 119; formation energy (no corrections) = 76 kJ/mol of atoms; energy above the lowest structure with this stoichiometry = 2.166 eV/f.u.
1.0
4.9601 0.0015 0.0000
2.4258 4.3264 0.0000
-3.6929 -2.1640 2.5064
Be Mo Br
2 1 1
direct
0.0000 0.0000 0.0000
0.2500 0.7500 0.5000
0.7500 0.2500 0.5000
0.5000 0.5000 0.0000